VASP calculation (GGA-PBEsol) on an optimized crystal structure of K2CrAg.

The value obtained for the formation energy from the elements is 0.78 eV per atom. As for the distance to the lowest polymorph of the same formula: 0.00 eV/f.u. Its crystal system is tetragonal. For the density, the calculation gives 3.4 Mg/m³. As for the density of states at the Fermi level: 1.720 states/eV/cell.

abc: 5.4603 5.4554 5.4603
angles: 59.97 90.00 120.03
Closest atoms and distances in Å follow each position.
Atoms (fractional coordinates):
K 0.0000 0.0000 0.0000  4 Cr 3.34, 4 K 3.34
K 0.2500 0.5000 0.2500  4 K 3.34, 4 Ag 3.34
Cr 0.7500 0.5000 0.7500  4 Ag 3.34, 4 K 3.34
Ag 0.5000 0.0000 0.5000  4 K 3.34, 4 Cr 3.34